The following is a PBE calculation of crystalline ThSc2ZnC at its relaxed geometry, from Alexandria.

```
data_ThSc2ZnC
_chemical_formula_sum 'Th2 Sc4 Zn2 C2'
_symmetry_space_group_name_H-M 'P 1'
_symmetry_Int_Tables_number 1
_cell_length_a 6.7752
_cell_length_b 6.7752
_cell_length_c 6.7752
_cell_angle_alpha 123.78
_cell_angle_beta 123.78
_cell_angle_gamma 83.58
loop_
_symmetry_equiv_pos_as_xyz
'x,y,z'
loop_
_atom_site_label
_atom_site_type_symbol
_atom_site_fract_x
_atom_site_fract_y
_atom_site_fract_z
Th1 Th 0.2500 0.2500 0.0000
Th2 Th 0.7500 0.7500 0.0000
Sc1 Sc 0.1952 0.6952 0.8903
Sc2 Sc 0.3048 0.1952 0.5000
Sc3 Sc 0.6952 0.8048 0.5000
Sc4 Sc 0.8048 0.3048 0.1097
Zn1 Zn 0.2500 0.7500 0.5000
Zn2 Zn 0.7500 0.2500 0.5000
C1 C 0.0000 0.0000 0.0000
C2 C 0.5000 0.5000 0.0000
```

Values from the calculation:
* crystal system: tetragonal
* ΔH_f (0 K): -333 meV/atom
* density of states at the Fermi level: 0.551 states/eV per atom
* E_tot: -6.45 eV/atom
* symmetry: I4/mcm, No. 140